1.
Material: RbTl2AgBr4
Method: DFT, PBE-GGA
State: relaxed

Summary:
Crystal system   orthorhombic
Space group   No. 63
Formation energy without anion corrections   -7.60 eV/f.u.
Theoretical density   5.08 g/cm3

abc: 4.626 8.170 16.631
angles: 90.00 90.00 106.44
Atoms (fractional coordinates):
Br (0.277, 0.553, 0.372)
Br (0.000, 0.000, 0.000)
Br (0.000, 0.000, 0.500)
Br (0.436, 0.873, 0.750)
Br (0.723, 0.447, 0.628)
Br (0.277, 0.553, 0.128)
Br (0.564, 0.127, 0.250)
Br (0.723, 0.447, 0.872)
Rb (0.888, 0.776, 0.250)
Rb (0.112, 0.224, 0.750)
Tl (0.633, 0.267, 0.448)
Tl (0.633, 0.267, 0.052)
Tl (0.367, 0.733, 0.948)
Tl (0.367, 0.733, 0.552)
Ag (0.160, 0.321, 0.250)
Ag (0.840, 0.679, 0.750)

---

2.
Material: KHgW2
Method: DFT, PBE-GGA
State: relaxed

Summary:
Crystal system   tetragonal
Energy of formation from the pure elements   1.6232 eV per atom
Space group   No. 139
Theoretical density   12.02 g/cm3

abc: 6.033 6.033 6.033
angles: 141.66 141.66 55.34
Atoms (fractional coordinates):
W (0.000, 0.000, 0.000)
W (0.500, 0.500, 0.000)
K (0.750, 0.250, 0.500)
Hg (0.250, 0.750, 0.500)

---

3.
Material: Mg5Tl3Pb
Method: DFT, PBE-GGA
State: relaxed

Summary:
Crystal system   hexagonal
Energy of formation from the pure elements   -0.0032 eV per atom
Space group   No. 193
Theoretical density   6.89 g/cm3

abc: 6.264 9.150 9.147
angles: 120.01 90.00 90.00
Atoms (fractional coordinates):
Mg (0.250, 0.312, 0.312)
Mg (0.500, 0.333, 0.667)
Mg (0.750, 0.312, 0.000)
Mg (0.750, 0.000, 0.312)
Mg (0.000, 0.333, 0.667)
Mg (0.500, 0.667, 0.333)
Mg (0.250, 0.000, 0.688)
Mg (0.000, 0.667, 0.333)
Mg (0.750, 0.688, 0.688)
Mg (0.250, 0.688, 0.000)
Tl (0.750, 0.000, 0.636)
Tl (0.250, 0.636, 0.636)
Tl (0.250, 0.364, 0.000)
Tl (0.250, 0.000, 0.364)
Tl (0.750, 0.636, 0.000)
Tl (0.750, 0.364, 0.364)
Pb (0.000, 0.000, 0.000)
Pb (0.500, 0.000, 0.000)

---

4.
Material: Tm2FeC2
Method: DFT, PBE-GGA
State: relaxed

Summary:
Crystal system   monoclinic
Energy of formation from the pure elements   -0.3278 eV per atom
Space group   No. 12
Theoretical density   9.29 g/cm3

abc: 4.937 5.909 6.575
angles: 117.89 90.00 114.69
Atoms (fractional coordinates):
Tm (0.960, 0.920, 0.219)
Tm (0.682, 0.363, 0.611)
Tm (0.318, 0.637, 0.389)
Tm (0.040, 0.080, 0.781)
Fe (0.370, 0.741, 0.870)
Fe (0.630, 0.259, 0.130)
C (0.484, 0.967, 0.204)
C (0.817, 0.634, 0.394)
C (0.516, 0.033, 0.796)
C (0.183, 0.366, 0.606)

---

5.
Material: Zn5Cu6Au
Method: DFT, PBE-GGA
State: relaxed

Summary:
Crystal system   orthorhombic
Energy of formation from the pure elements   -0.0936 eV per atom
Space group   No. 71
Theoretical density   9.33 g/cm3

abc: 3.852 7.173 7.111
angles: 120.29 105.71 90.00
Atoms (fractional coordinates):
Zn (0.670, 0.670, 0.340)
Zn (0.000, 0.500, 0.000)
Zn (0.330, 0.330, 0.660)
Zn (0.335, 0.835, 0.670)
Zn (0.665, 0.165, 0.330)
Cu (0.830, 0.573, 0.661)
Cu (0.500, 0.264, 0.000)
Cu (0.170, 0.912, 0.339)
Cu (0.830, 0.088, 0.661)
Cu (0.500, 0.736, 0.000)
Cu (0.170, 0.427, 0.339)
Au (0.000, 0.000, 0.000)

---

6.
Material: TbPmY2Tm
Method: DFT, PBE-GGA
State: relaxed

Summary:
Crystal system   orthorhombic
Energy of formation from the pure elements   0.4000 eV per atom
Space group   No. 63
Theoretical density   6.22 g/cm3

abc: 7.218 8.418 7.102
angles: 126.35 90.00 90.00
Atoms (fractional coordinates):
Y (0.500, 0.310, 0.000)
Y (0.500, 0.690, 0.000)
Y (0.000, 0.690, 0.000)
Y (0.000, 0.310, 0.000)
Tb (0.750, 0.003, 0.007)
Tb (0.250, 0.997, 0.993)
Pm (0.750, 0.272, 0.544)
Pm (0.250, 0.728, 0.456)
Tm (0.250, 0.276, 0.552)
Tm (0.750, 0.724, 0.448)

---

7.
Material: Ce2PrS3
Method: DFT, PBE-GGA
State: relaxed

Summary:
Crystal system   orthorhombic
Space group   No. 71
Formation energy without anion corrections   -12.22 eV/f.u.
Theoretical density   6.10 g/cm3

abc: 4.050 5.730 7.010
angles: 114.12 106.79 90.00
Atoms (fractional coordinates):
S (0.830, 0.330, 0.159)
S (0.500, 0.000, 0.500)
S (0.170, 0.670, 0.841)
Pr (0.500, 0.500, 0.500)
Ce (0.165, 0.165, 0.830)
Ce (0.835, 0.835, 0.170)

---

8.
Material: LiFeReGe
Method: DFT, PBE-GGA
State: relaxed

Summary:
Crystal system   cubic
Energy of formation from the pure elements   0.0388 eV per atom
Space group   No. 216
Theoretical density   10.12 g/cm3

abc: 4.211 4.211 4.211
angles: 60.00 60.00 60.00
Atoms (fractional coordinates):
Ge (0.500, 0.500, 0.500)
Fe (0.000, 0.000, 0.000)
Li (0.750, 0.750, 0.750)
Re (0.250, 0.250, 0.250)

---

Electronic total energy, respectively: -45.7 -20.8 -37.6 -75.0 -35.3 -49.6 -41.3 -27.3 eV/cell.